# 1
LiMg2ZnH PBE-GGA optimized geometry; V = 14.63 Å³ per atom; spin magnetization = 0.000 μB/f.u.; electronic total energy = -2.06 eV/atom
1.0
-2.546 3.924 0.145
-3.034 -2.076 2.896
1.778 1.057 2.621
Li Zn Mg H
1 1 2 1
direct
0.000 0.000 0.500
0.500 0.500 0.500
0.500 0.000 0.000
0.000 0.500 0.000
0.000 0.000 0.000



# 2
LiMgZr2H PBE-GGA optimized geometry; energy relative to the lowest polymorph listed for this composition = 0 meV/atom; V = 16.84 Å³ per atom; spin magnetization = 0.000 μB/f.u.; electronic total energy = -4.83 eV/atom
1.0
4.430 0.000 0.000
0.000 4.430 0.000
0.000 0.000 4.289
Zr Li H Mg
2 1 1 1
direct
0.500 0.000 0.000
0.000 0.500 0.000
0.000 0.000 0.500
0.000 0.000 0.000
0.500 0.500 0.500